The following is a DFT calculation (PBE) of crystalline ZnTcBr2 at its relaxed geometry.

The structure belongs to space group Cm (No. 8); the cell edges are 20.999, 3.554 and 5.854 Å and the angles 90.00°, 104.68° and 90.00°. The distinct sites, in fractional coordinates, are Zn at (0.000, 0.000, 0.000), Zn at (0.097, 0.500, 0.958), Tc at (0.397, 0.000, 0.831), Tc at (0.480, 0.000, 0.664), Br at (0.052, 0.000, 0.442), Br at (0.181, 0.000, 0.063), Br at (0.311, 0.500, 0.666) and Br at (0.392, 0.000, 0.260).

Its uncorrected formation energy is -0.59 eV/f.u. For the relative energy among the computed polymorphs, the calculation gives 66 meV per atom. The calculation puts the total DFT energy (no corrections) at -3.894 eV per atom.